1.
A geometry-optimized AlAg2Ru structure, computed with PBE.

Calculated values
Calculated formation energy, eV/atom: 0.16

Cell: 3.8180 3.8180 8.8434 Å, 90.00 90.00 90.00°
Closest atoms and distances in Å follow each position.
Space group I4/mmm (No. 139)
One atom of each set of equivalent atoms:
1 Al 0.0000 0.0000 0.0000 [2 per cell]  4 Ru 2.70, 8 Ag 2.92
2 Ag 0.0000 0.5000 0.2500 [4 per cell]  4 Ag 2.70, 4 Ru 2.92, 4 Al 2.92
3 Ru 0.0000 0.0000 0.5000 [2 per cell]  4 Al 2.70, 8 Ag 2.92

2.
A geometry-optimized AlAgRu2 structure, computed with PBE.

Calculated values
Calculated formation energy, eV/atom: 0.06

Cell: 2.8116 2.8116 26.4608 Å, 90.00 90.00 120.00°
Closest atoms and distances in Å follow each position.
Space group R3m (No. 160, hexagonal axes)
One atom of each set of equivalent atoms:
1 Al 0.0000 0.0000 0.0000 [3 per cell]  3 Ru 2.61, 6 Al 2.81, 3 Ag 2.82
2 Ag 0.0000 0.0000 0.2463 [3 per cell]  6 Ag 2.81, 3 Al 2.82, 3 Ru 2.93
3 Ru 0.0000 0.0000 0.4874 [3 per cell]  9 Ru 2.60-2.81
4 Ru 0.0000 0.0000 0.7439 [3 per cell]  9 Ru 2.60-2.81, 3 Al 2.61

3.
A geometry-optimized AlAg2Ru structure, computed with PBE.

Calculated values
Calculated formation energy, eV/atom: 0.24

Cell: 2.7520 4.2515 5.4883 Å, 90.00 90.00 90.00°
Closest atoms and distances in Å follow each position.
Space group Pmmm (No. 47)
One atom of each set of equivalent atoms:
1 Al 0.0000 0.0000 0.0000 [1 per cell]  2 Ru 2.74, 2 Al 2.75, 8 Ag 2.88
2 Ag 0.5000 0.5000 0.2492 [2 per cell]  4 Ag 2.74-2.75, 4 Al 2.88, 4 Ru 2.88
3 Ru 0.0000 0.0000 0.5000 [1 per cell]  2 Al 2.74, 2 Ru 2.75, 8 Ag 2.88

4.
A geometry-optimized AlAg2Ru structure, computed with PBE.

Calculated values
Calculated formation energy, eV/atom: 0.08

Cell: 3.1151 4.6616 8.9204 Å, 90.00 90.00 90.00°
Closest atoms and distances in Å follow each position.
Space group Cmm2 (No. 35)
One atom of each set of equivalent atoms:
1 Al 0.0000 0.0000 0.0000 [2 per cell]  2 Ru 2.44, 2 Ag 2.72
2 Ag 0.0000 0.0000 0.5237 [2 per cell]  8 Ag 2.80-3.12, 2 Ru 2.84
3 Ag 0.0000 0.5000 0.2498 [2 per cell]  2 Al 2.72, 6 Ag 2.80-2.90
4 Ru 0.0000 0.5000 0.7899 [2 per cell]  2 Al 2.44

5.
A geometry-optimized AlAgRu2 structure, computed with PBE.

Calculated values
Calculated formation energy, eV/atom: 0.07

Cell: 2.9744 2.9744 6.7127 Å, 90.00 90.00 90.00°
Closest atoms and distances in Å follow each position.
Space group P4/mmm (No. 123)
One atom of each set of equivalent atoms:
1 Al 0.0000 0.0000 0.0000 [1 per cell]  8 Ru 2.55
2 Ag 0.0000 0.0000 0.5000 [1 per cell]  8 Ru 2.85, 4 Ag 2.97
3 Ru 0.5000 0.5000 0.2146 [2 per cell]  4 Al 2.55, 4 Ag 2.85

6.
A geometry-optimized AlAg2Ru structure, computed with PBE.

Calculated values
Calculated formation energy, eV/atom: 0.10

Cell: 9.7366 2.8789 4.9422 Å, 90.00 112.46 90.00°
Closest atoms and distances in Å follow each position.
Space group Cm (No. 8)
One atom of each set of equivalent atoms:
1 Al 0.0000 0.0000 0.0000 [2 per cell]  3 Ru 2.56-2.83, 4 Ag 2.75-2.77
2 Ag 0.0019 0.5000 0.5276 [2 per cell]  5 Ag 2.69-2.88, 4 Al 2.75-2.97, 2 Ru 2.94
3 Ag 0.2400 0.5000 0.3780 [2 per cell]  5 Ag 2.69-2.88, 2 Al 2.77, 4 Ru 2.84-2.90
4 Ru 0.2690 0.0000 0.9076 [2 per cell]  3 Al 2.56-2.83, 2 Ag 2.84

7.
A geometry-optimized AlAg2Ru structure, computed with PBE.

Calculated values
Calculated formation energy, eV/atom: 0.08

Cell: 6.3178 6.3223 4.4716 Å, 90.00 134.92 90.00°
Closest atoms and distances in Å follow each position.
Space group C2 (No. 5)
One atom of each set of equivalent atoms:
1 Al 0.0000 0.0000 0.0000 [2 per cell]  4 Ru 2.73-2.74, 4 Ag 2.74
2 Ag 0.0000 0.2503 0.5000 [2 per cell]  4 Al 2.74, 4 Ag 2.74
3 Ag 0.0000 0.5005 0.0000 [2 per cell]  4 Ru 2.74, 4 Ag 2.74
4 Ru 0.0000 0.7512 0.5000 [2 per cell]  4 Al 2.73-2.74, 4 Ag 2.74

8.
A geometry-optimized AlAg2Ru structure, computed with PBE.

Calculated values
Calculated formation energy, eV/atom: 0.35

Cell: 3.3199 3.3199 5.8346 Å, 90.00 90.00 90.00°
Closest atoms and distances in Å follow each position.
Space group P4/mmm (No. 123)
One atom of each set of equivalent atoms:
1 Al 0.0000 0.0000 0.0000 [1 per cell]  8 Ag 2.74, 2 Ru 2.92
2 Ag 0.5000 0.5000 0.2421 [2 per cell]  4 Al 2.74, 4 Ru 2.79, 2 Ag 2.83-3.01
3 Ru 0.0000 0.0000 0.5000 [1 per cell]  8 Ag 2.79, 2 Al 2.92

9.
A geometry-optimized AlAgRu2 structure, computed with PBE.

Calculated values
Calculated formation energy, eV/atom: 0.03

Cell: 2.7819 2.7819 26.7144 Å, 90.00 90.00 120.00°
Closest atoms and distances in Å follow each position.
Space group R-3m (No. 166, hexagonal axes)
One atom of each set of equivalent atoms:
1 Al 0.0000 0.0000 0.0000 [3 per cell]  6 Ru 2.58, 6 Al 2.78
2 Ag 0.0000 0.0000 0.5000 [3 per cell]  6 Ag 2.78, 6 Ru 2.91
3 Ru 0.0000 0.0000 0.2576 [6 per cell]  3 Al 2.58, 6 Ru 2.78

10.
A geometry-optimized Al5AgRu4 structure, computed with PBE.

Calculated values
Calculated formation energy, eV/atom: -0.58

Cell: 3.0588 3.0588 15.0717 Å, 90.00 90.00 90.00°
Closest atoms and distances in Å follow each position.
Space group P4/mmm (No. 123)
One atom of each set of equivalent atoms:
1 Al 0.0000 0.0000 0.0000 [1 per cell]  8 Ru 2.62
2 Al 0.0000 0.0000 0.1949 [2 per cell]  8 Ru 2.61-2.66, 1 Al 2.81
3 Al 0.0000 0.0000 0.3816 [2 per cell]  4 Ru 2.51, 4 Ag 2.80
4 Ag 0.5000 0.5000 0.5000 [1 per cell]  8 Al 2.80, 2 Ru 3.05, 4 Ag 3.06
5 Ru 0.5000 0.5000 0.0979 [2 per cell]  8 Al 2.61-2.62
6 Ru 0.5000 0.5000 0.2974 [2 per cell]  8 Al 2.51-2.66

11.
A geometry-optimized AlAgRu2 structure, computed with PBE.

Calculated values
Calculated formation energy, eV/atom: -0.06

Cell: 2.8200 2.8200 7.5345 Å, 90.00 90.00 90.00°
Closest atoms and distances in Å follow each position.
Space group P4mm (No. 99)
One atom of each set of equivalent atoms:
1 Al 0.0000 0.0000 0.0000 [1 per cell]  4 Ru 2.64, 4 Al 2.82, 4 Ag 2.82
2 Ag 0.5000 0.5000 0.7349 [1 per cell]  4 Ag 2.82, 4 Al 2.82, 4 Ru 2.92
3 Ru 0.0000 0.0000 0.4509 [1 per cell]  8 Ru 2.60-2.82
4 Ru 0.5000 0.5000 0.2287 [1 per cell]  8 Ru 2.60-2.82, 4 Al 2.64

12.
A geometry-optimized AlAgRu2 structure, computed with PBE.

Calculated values
Calculated formation energy, eV/atom: 0.52

Cell: 7.1561 7.1561 5.0923 Å, 90.00 90.00 90.00°
Closest atoms and distances in Å follow each position.
Space group I-42d (No. 122)
One atom of each set of equivalent atoms:
1 Al 0.0000 0.0000 0.0000 [4 per cell]  4 Ru 2.45, 2 Ag 2.55
2 Ag 0.0000 0.0000 0.5000 [4 per cell]  2 Al 2.55, 4 Ru 2.79
3 Ru 0.2152 0.2500 0.1250 [8 per cell]  2 Al 2.45, 2 Ru 2.59

13.
A geometry-optimized AlAgRu2 structure, computed with PBE.

Calculated values
Calculated formation energy, eV/atom: 0.15

Cell: 6.2064 6.2064 6.2064 Å, 90.00 90.00 90.00°
Closest atoms and distances in Å follow each position.
Space group F-43m (No. 216)
One atom of each set of equivalent atoms:
1 Al 0.0000 0.0000 0.0000 [4 per cell]  4 Ag 2.69, 4 Ru 2.69
2 Ag 0.2500 0.2500 0.7500 [4 per cell]  4 Ru 2.69, 4 Al 2.69
3 Ru 0.0000 0.0000 0.5000 [4 per cell]  4 Ru 2.69, 4 Ag 2.69
4 Ru 0.2500 0.2500 0.2500 [4 per cell]  4 Ru 2.69, 4 Al 2.69

14.
A geometry-optimized AlAg2Ru structure, computed with PBE.

Calculated values
Calculated formation energy, eV/atom: 0.31

Cell: 3.7138 3.7138 20.0067 Å, 90.00 90.00 90.00°
Closest atoms and distances in Å follow each position.
Space group I-42d (No. 122)
One atom of each set of equivalent atoms:
1 Al 0.0000 0.0000 0.0000 [4 per cell]  4 Ru 2.63, 4 Ag 2.82
2 Ag 0.2493 0.2500 0.1250 [8 per cell]  4 Ag 2.62-2.63, 2 Al 2.82, 2 Ru 2.83
3 Ru 0.0000 0.0000 0.5000 [4 per cell]  4 Al 2.63, 4 Ag 2.83

15.
A geometry-optimized AlAgRu2 structure, computed with PBE.

Calculated values
Calculated formation energy, eV/atom: 0.13

Cell: 2.9041 4.6338 8.9665 Å, 90.00 90.00 90.00°
Closest atoms and distances in Å follow each position.
Space group Cmmm (No. 65)
One atom of each set of equivalent atoms:
1 Al 0.0000 0.0000 0.0000 [2 per cell]  4 Ru 2.50, 4 Al 2.73
2 Ag 0.0000 0.0000 0.5000 [2 per cell]  6 Ag 2.73-2.90, 4 Ru 2.85
3 Ru 0.0000 0.5000 0.2264 [4 per cell]  2 Al 2.50, 4 Ru 2.73

no.,uncorrected energy (eV per cell)
1,-36.14
2,-74.70
3,-17.77
4,-36.83
5,-24.85
6,-36.61
7,-36.78
8,-17.32
9,-75.02
10,-64.48
11,-25.37
12,-92.26
13,-98.19
14,-69.88
15,-49.26